CaSO4 (SCAN, PBEsol geometry); calculated total energy = -9.841 eV per atom; total magnetization = 0.0 μB/cell; density of states at the Fermi level = 0.000 states/eV per cell
1.0
6.342 0.000 0.000
0.000 6.871 0.000
-4.798 0.000 6.482
Ca S O
4 4 16
Cartesian
-0.169 1.061 1.820
-2.568 2.375 5.060
4.112 4.496 1.421
1.713 5.811 4.662
1.023 4.543 1.273
-1.376 5.764 4.514
2.920 1.108 1.967
0.521 2.328 5.208
-2.152 4.586 4.015
0.246 5.721 0.775
0.030 3.491 1.604
-2.369 6.816 4.845
1.967 4.122 0.209
-0.432 6.185 3.450
2.073 1.435 0.802
-0.326 2.001 4.043
1.870 4.870 2.439
-0.529 5.437 5.680
1.976 0.687 3.031
-0.423 2.749 6.272
3.912 0.055 1.637
1.514 3.380 4.878
1.297 1.150 5.707
3.696 2.285 2.466